1.
# Rb2SeBr PBE relaxed
data_Rb2SeBr
_cell_length_a 8.406
_cell_length_b 8.406
_cell_length_c 8.406
_cell_angle_alpha 90.00
_cell_angle_beta 90.00
_cell_angle_gamma 90.00
_space_group_name_H-M_alt 'F m -3 m'
_space_group_IT_number 225
_space_group_name_Hall '-F 4 2 3'
loop_
_atom_site_label
_atom_site_type_symbol
_atom_site_fract_x
_atom_site_fract_y
_atom_site_fract_z
Rb1 Rb 0.250 0.250 0.250
Se1 Se 0.000 0.000 0.000
Br1 Br 0.000 0.000 0.500
# total magnetization	4.00	μB/cell
# polymorph energy (0 for the lowest one)	0.34	eV per formula unit
# electronic total energy	-45.0	eV for the cell shown
# N(E_F)	51.06	states/eV per cell


2.
# TlC PBE relaxed
data_TlC
_cell_length_a 10.073
_cell_length_b 10.073
_cell_length_c 3.981
_cell_angle_alpha 90.00
_cell_angle_beta 90.00
_cell_angle_gamma 90.00
_space_group_name_H-M_alt 'P 4/m'
_space_group_IT_number 83
loop_
_space_group_symop_operation_xyz
'x,y,z'
'-x,-y,-z'
'-y,x,z'
'y,-x,-z'
'-x,-y,z'
'x,y,-z'
'y,-x,z'
'-y,x,-z'
loop_
_atom_site_label
_atom_site_type_symbol
_atom_site_fract_x
_atom_site_fract_y
_atom_site_fract_z
Tl1 Tl 0.099 0.356 0.000
Tl2 Tl 0.236 0.606 0.500
C1 C 0.123 0.616 0.000
C2 C 0.213 0.368 0.500
# total magnetization	0.00	μB/cell
# formation energy from the elements	2.084	eV per atom
# polymorph energy (0 for the lowest one)	2.60	eV per formula unit
# electronic total energy	-59.4	eV for the cell shown
# N(E_F)	7.20	states/eV per cell


3.
# EuSc3C PBE relaxed
data_EuSc3C
_cell_length_a 4.751
_cell_length_b 4.751
_cell_length_c 4.751
_cell_angle_alpha 90.00
_cell_angle_beta 90.00
_cell_angle_gamma 90.00
_space_group_name_H-M_alt 'P m -3 m'
_space_group_IT_number 221
_space_group_name_Hall '-P 4 2 3'
loop_
_atom_site_label
_atom_site_type_symbol
_atom_site_fract_x
_atom_site_fract_y
_atom_site_fract_z
Eu1 Eu 0.000 0.000 0.000
Sc1 Sc 0.000 0.500 0.500
C1 C 0.500 0.500 0.500
# total magnetization	8.01	μB/cell
# formation energy from the elements	-0.022	eV per atom
# electronic total energy	-38.6	eV for the cell shown
# N(E_F)	5.36	states/eV per cell


4.
# SrU2N4 PBE relaxed
data_SrU2N4
_cell_length_a 3.504
_cell_length_b 11.375
_cell_length_c 10.868
_cell_angle_alpha 90.00
_cell_angle_beta 90.00
_cell_angle_gamma 90.00
_space_group_name_H-M_alt 'C m c m'
_space_group_IT_number 63
_space_group_name_Hall '-C 2c 2'
loop_
_atom_site_label
_atom_site_type_symbol
_atom_site_fract_x
_atom_site_fract_y
_atom_site_fract_z
Sr1 Sr 0.000 0.106 0.250
U1 U 0.000 0.368 0.068
N1 N 0.000 0.000 0.000
N2 N 0.000 0.262 0.596
N3 N 0.000 0.440 0.250
# total magnetization	8.07	μB/cell
# electronic total energy	-265.8	eV for the cell shown
# N(E_F)	20.32	states/eV per cell


5.
# BC3 PBE relaxed
data_BC3
_cell_length_a 11.546
_cell_length_b 2.523
_cell_length_c 5.235
_cell_angle_alpha 90.00
_cell_angle_beta 102.89
_cell_angle_gamma 90.00
_space_group_name_H-M_alt 'C 1 m 1'
_space_group_IT_number 8
loop_
_space_group_symop_operation_xyz
'x,y,z'
'x,-y,z'
'x+1/2,y+1/2,z'
'x+1/2,-y+1/2,z'
loop_
_atom_site_label
_atom_site_type_symbol
_atom_site_fract_x
_atom_site_fract_y
_atom_site_fract_z
B1 B 0.000 0.000 0.000
B2 B 0.164 0.500 0.334
B3 B 0.332 0.000 0.164
C1 C 0.001 0.000 0.509
C2 C 0.081 0.500 0.551
C3 C 0.095 0.500 0.034
C4 C 0.169 0.500 0.828
C5 C 0.250 0.000 0.867
C6 C 0.258 0.000 0.391
C7 C 0.335 0.000 0.667
C8 C 0.415 0.500 0.705
C9 C 0.428 0.500 0.226
# total magnetization	0.00	μB/cell
# formation energy from the elements	0.315	eV per atom
# polymorph energy (0 for the lowest one)	0.30	eV per formula unit
# electronic total energy	-198.5	eV for the cell shown
# N(E_F)	3.87	states/eV per cell


6.
# Li3Pr2MgGe4 PBE relaxed
data_Li3Pr2MgGe4
_cell_length_a 4.208
_cell_length_b 4.208
_cell_length_c 11.227
_cell_angle_alpha 90.00
_cell_angle_beta 90.00
_cell_angle_gamma 90.00
_space_group_name_H-M_alt 'P -4 m 2'
_space_group_IT_number 115
loop_
_space_group_symop_operation_xyz
'x,y,z'
'y,-x,-z'
'-x,-y,z'
'-y,x,-z'
'-x,y,z'
'-y,-x,-z'
'x,-y,z'
'y,x,-z'
loop_
_atom_site_label
_atom_site_type_symbol
_atom_site_fract_x
_atom_site_fract_y
_atom_site_fract_z
Li1 Li 0.000 0.000 0.000
Li2 Li 0.000 0.500 0.629
Pr1 Pr 0.000 0.500 0.264
Mg1 Mg 0.500 0.500 0.000
Ge1 Ge 0.000 0.000 0.500
Ge2 Ge 0.000 0.500 0.848
Ge3 Ge 0.500 0.500 0.500
# total magnetization	0.00	μB/cell
# formation energy from the elements	-0.558	eV per atom
# electronic total energy	-40.9	eV for the cell shown
# N(E_F)	4.00	states/eV per cell


Q: Which value of N(E_F) does entry 3 give?
A: 5.36 states/eV per cell


Q: What is the N(E_F) in the fifth record?
A: 3.87 states/eV per cell